## Nb2GaBiIr (PBE)

Data for a relaxed structure of Nb2GaBiIr.

Geometry as POSCAR:
```
Nb2GaBiIr
1.0
-4.740 -0.065 -0.229
-0.050 -4.545 2.335
-0.234 2.168 4.215
Bi Ga Nb Ir
1 1 2 1
direct
0.000 0.500 0.000
0.000 0.000 0.000
0.000 0.000 0.500
0.500 0.000 0.000
0.500 0.500 0.500
```

ΔH_f (0 K) in meV per atom: 1449
SG: P4/mmm, No. 123
E_tot in eV/atom: -5.732
DOS(E_F) in states/eV/atom: 1.695